NdSm4Ho2Er | Alexandria | PBE | optimized geometry; energy of formation from the pure elements = 0.018 eV per atom
1.0
6.214 0.000 0.000
0.000 3.600 0.000
-2.092 0.000 11.711
Nd Sm Ho Er
1 4 2 1
Direct
0.000 0.000 0.000 Nd
0.251 0.000 0.748 Sm
0.251 0.500 0.253 Sm
0.749 0.000 0.252 Sm
0.749 0.500 0.747 Sm
0.500 0.000 0.500 Ho
0.500 0.500 0.000 Ho
0.000 0.500 0.500 Er


RbPuPbCl6 | Alexandria | PBE | optimized geometry; E_form (uncorrected) = -1.668 eV per atom
1.0
6.927 0.000 0.000
0.000 6.927 0.000
0.000 0.000 13.507
Rb Pu Pb Cl
2 2 2 12
Direct
0.000 0.000 0.000 Rb
0.500 0.500 0.500 Rb
0.000 0.000 0.335 Pu
0.500 0.500 0.835 Pu
0.000 0.000 0.670 Pb
0.500 0.500 0.170 Pb
0.173 0.173 0.494 Cl
0.201 0.201 0.194 Cl
0.221 0.221 0.817 Cl
0.279 0.721 0.317 Cl
0.299 0.701 0.694 Cl
0.327 0.673 0.994 Cl
0.673 0.327 0.994 Cl
0.701 0.299 0.694 Cl
0.721 0.279 0.317 Cl
0.779 0.779 0.817 Cl
0.799 0.799 0.194 Cl
0.827 0.827 0.494 Cl


K2Sr2Ge | Alexandria | PBE | optimized geometry; energy of formation from the pure elements = -0.011 eV per atom
1.0
8.472 0.000 0.000
0.000 8.472 0.000
0.000 0.000 7.283
K Sr Ge
4 4 2
Direct
0.179 0.321 0.000 K
0.321 0.821 0.000 K
0.679 0.179 0.000 K
0.821 0.679 0.000 K
0.174 0.674 0.500 Sr
0.326 0.174 0.500 Sr
0.674 0.826 0.500 Sr
0.826 0.326 0.500 Sr
0.000 0.000 0.500 Ge
0.500 0.500 0.500 Ge